1.
Entry from Alexandria via LeMat-Bulk: Ta2BeCl after structural relaxation (GGA-PBE).

Cell lengths 4.9107, 4.9107, 7.1916 Å; angles 70.04, 70.04, 90.00 degrees
Fractional coordinates of all 8 atoms:
1 Ta 0.5698 0.1250 0.2500
2 Ta 0.8750 0.8198 0.7500
3 Ta 0.1802 0.6250 0.2500
4 Ta 0.3750 0.4302 0.7500
5 Cl 0.7500 0.2500 0.5000
6 Cl 0.0000 0.0000 0.0000
7 Be 0.2500 0.7500 0.5000
8 Be 0.5000 0.5000 0.0000

Uncorrected formation energy = 1028 meV/atom
VASP energy = -6.291 eV/atom
Offset from the most stable computed form = 927.2 meV per atom

2.
Entry from Alexandria via LeMat-Bulk: CrGeSe2Br after structural relaxation (GGA-PBE).

Cell lengths 4.9353, 4.9353, 4.9233 Å; angles 90.00, 90.00, 90.00 degrees
Site moments in Bohr magnetons follow the coordinates.
Fractional coordinates of all 5 atoms:
1 Se 0.5000 0.0000 0.0000  -0.10
2 Se 0.0000 0.5000 0.0000  -0.10
3 Cr 0.0000 0.0000 0.0000  2.99
4 Br 0.0000 0.0000 0.5000  -0.01
5 Ge 0.5000 0.5000 0.5000  0.15

Uncorrected formation energy = 102 meV/atom
VASP energy = -4.474 eV/atom
Offset from the most stable computed form = 0.0 meV per atom

3.
Entry from Alexandria via LeMat-Bulk: TiAgI5 after structural relaxation (GGA-PBE).

Cell lengths 7.7505, 7.7505, 11.0681 Å; angles 111.32, 109.88, 89.72 degrees
Fractional coordinates of all 14 atoms:
1 I 0.9259 0.6759 0.7500
2 I 0.2965 0.1580 0.9826
3 I 0.8246 0.1861 0.4826
4 I 0.0741 0.3241 0.2500
5 I 0.7775 0.1888 0.8508
6 I 0.2225 0.8112 0.1492
7 I 0.3380 0.4267 0.6492
8 I 0.6620 0.5733 0.3508
9 I 0.7035 0.8420 0.0174
10 I 0.1754 0.8139 0.5174
11 Ag 0.3831 0.1331 0.7500
12 Ag 0.6169 0.8669 0.2500
13 Ti 0.0000 0.5000 0.5000
14 Ti 0.0000 0.0000 0.0000

Uncorrected formation energy = -498 meV/atom
VASP energy = -3.140 eV/atom